[1]
# ZrTcMoW

An optimized crystal structure of ZrTcMoW (PBE-GGA, Alexandria via LeMat-Bulk).

Properties
energy of formation from the pure elements = -150 meV per atom
space group = No. 216

Cell: 6.445 6.445 6.445 Å, 90.00 90.00 90.00°
Fractional positions:
Zr1 0.000 0.000 0.000
Zr2 0.000 0.500 0.500
Zr3 0.500 0.000 0.500
Zr4 0.500 0.500 0.000
Tc1 0.250 0.250 0.750
Tc2 0.250 0.750 0.250
Tc3 0.750 0.250 0.250
Tc4 0.750 0.750 0.750
Mo1 0.250 0.250 0.250
Mo2 0.250 0.750 0.750
Mo3 0.750 0.250 0.750
Mo4 0.750 0.750 0.250
W1 0.000 0.000 0.500
W2 0.000 0.500 0.000
W3 0.500 0.000 0.000
W4 0.500 0.500 0.500

[2]
# TaBe2Au

An optimized crystal structure of TaBe2Au (PBE-GGA, Alexandria via LeMat-Bulk).

Properties
energy of formation from the pure elements = 354 meV per atom
distance to the lowest polymorph of the same formula = 0.4258 eV/atom
space group = No. 122

Cell: 6.456 6.456 5.478 Å, 90.00 90.00 90.00°
Fractional positions:
Ta1 0.000 0.000 0.000
Ta2 0.000 0.500 0.250
Ta3 0.500 0.000 0.750
Ta4 0.500 0.500 0.500
Be1 0.226 0.250 0.625
Be2 0.250 0.726 0.875
Be3 0.250 0.774 0.375
Be4 0.274 0.250 0.125
Be5 0.726 0.750 0.125
Be6 0.750 0.226 0.375
Be7 0.750 0.274 0.875
Be8 0.774 0.750 0.625
Au1 0.000 0.000 0.500
Au2 0.000 0.500 0.750
Au3 0.500 0.000 0.250
Au4 0.500 0.500 0.000

[3]
# NdTmMgGa

An optimized crystal structure of NdTmMgGa (PBE-GGA, Alexandria via LeMat-Bulk).

Properties
energy of formation from the pure elements = -325 meV per atom
space group = No. 216

Cell: 7.376 7.376 7.376 Å, 90.00 90.00 90.00°
Fractional positions:
Nd1 0.000 0.000 0.000
Nd2 0.000 0.500 0.500
Nd3 0.500 0.000 0.500
Nd4 0.500 0.500 0.000
Tm1 0.000 0.000 0.500
Tm2 0.000 0.500 0.000
Tm3 0.500 0.000 0.000
Tm4 0.500 0.500 0.500
Mg1 0.250 0.250 0.750
Mg2 0.250 0.750 0.250
Mg3 0.750 0.250 0.250
Mg4 0.750 0.750 0.750
Ga1 0.250 0.250 0.250
Ga2 0.250 0.750 0.750
Ga3 0.750 0.250 0.750
Ga4 0.750 0.750 0.250

[4]
# NbAs2SeF

An optimized crystal structure of NbAs2SeF (PBE-GGA, Alexandria via LeMat-Bulk).

Properties
E_form (uncorrected) = -0.069 eV/atom
distance to the lowest polymorph of the same formula = 0.0000 eV/atom
space group = No. 123

Cell: 4.993 4.993 4.911 Å, 90.00 90.00 90.00°
Fractional positions:
Nb1 0.000 0.000 0.000
As1 0.000 0.500 0.000
As2 0.500 0.000 0.000
Se1 0.000 0.000 0.500
F1 0.500 0.500 0.500

[5]
# Li2ReF

An optimized crystal structure of Li2ReF (PBE-GGA, Alexandria via LeMat-Bulk).

Properties
E_form (uncorrected) = 0.813 eV/atom
distance to the lowest polymorph of the same formula = 1.0721 eV/atom
space group = No. 225

Cell: 6.094 6.094 6.094 Å, 90.00 90.00 90.00°
Fractional positions:
Li1 0.250 0.250 0.250
Li2 0.250 0.250 0.750
Li3 0.250 0.750 0.250
Li4 0.250 0.750 0.750
Li5 0.750 0.250 0.250
Li6 0.750 0.250 0.750
Li7 0.750 0.750 0.250
Li8 0.750 0.750 0.750
Re1 0.000 0.000 0.000
Re2 0.000 0.500 0.500
Re3 0.500 0.000 0.500
Re4 0.500 0.500 0.000
F1 0.000 0.000 0.500
F2 0.000 0.500 0.000
F3 0.500 0.000 0.000
F4 0.500 0.500 0.500

[6]
# Nb2Ir5RhW

An optimized crystal structure of Nb2Ir5RhW (PBE-GGA, Alexandria via LeMat-Bulk).

Properties
energy of formation from the pure elements = 390 meV per atom
space group = No. 140

Cell: 7.606 7.606 7.606 Å, 122.06 122.06 86.47°
Fractional positions:
Nb1 0.118 0.618 0.736
Nb2 0.382 0.118 0.500
Nb3 0.618 0.882 0.500
Nb4 0.882 0.382 0.264
Ir1 0.000 0.000 0.000
Ir2 0.070 0.154 0.500
Ir3 0.154 0.654 0.084
Ir4 0.346 0.430 0.500
Ir5 0.430 0.930 0.084
Ir6 0.500 0.500 0.000
Ir7 0.570 0.070 0.916
Ir8 0.654 0.570 0.500
Ir9 0.846 0.346 0.916
Ir10 0.930 0.846 0.500
Rh1 0.250 0.750 0.500
Rh2 0.750 0.250 0.500
W1 0.250 0.250 0.000
W2 0.750 0.750 0.000

[7]
# AlTl2AuBr6

An optimized crystal structure of AlTl2AuBr6 (PBE-GGA, Alexandria via LeMat-Bulk).

Properties
E_form (uncorrected) = -0.778 eV/atom
space group = No. 1

Cell: 7.486 7.599 7.781 Å, 115.97 118.10 92.57°
Fractional positions:
Al1 0.000 0.000 0.000
Tl1 0.256 0.762 0.537
Tl2 0.776 0.266 0.447
Au1 0.289 0.484 0.772
Br1 0.240 0.731 0.065
Br2 0.284 0.157 0.990
Br3 0.355 0.221 0.508
Br4 0.763 0.771 0.594
Br5 0.823 0.843 0.117
Br6 0.868 0.292 0.077

[8]
# Eu3AuO

An optimized crystal structure of Eu3AuO (PBE-GGA, Alexandria via LeMat-Bulk).

Properties
E_form (uncorrected) = -1.378 eV/atom
space group = No. 221

Cell: 4.982 4.982 4.982 Å, 90.00 90.00 90.00°
Fractional positions:
Eu1 0.000 0.000 0.500
Eu2 0.000 0.500 0.000
Eu3 0.500 0.000 0.000
Au1 0.500 0.500 0.500
O1 0.000 0.000 0.000